Record 1
{
  "formula": "GaCu4Pb",
  "functional": "PBE",
  "state": "optimized geometry",
  "formation_enthalpy_0k_ev_per_atom": 0.120,
  "sg": "F-43m",
  "final_energy_ev_per_atom": -3.733,
  "n_ef_per_ev_fu": 3.65,
  "cell": [[5.0824, 0.0000, 0.0000], [2.5412, 4.4015, 0.0000], [2.5412, 1.4672, 4.1498]],
  "species": ["Pb", "Cu", "Cu", "Cu", "Cu", "Ga"],
  "fractional_positions": [[0.2500, 0.2500, 0.2500], [0.6259, 0.6259, 0.1224], [0.6259, 0.1224, 0.6259], [0.6259, 0.6259, 0.6259], [0.1224, 0.6259, 0.6259], [0.0000, 0.0000, 0.0000]]
}

---

Record 2
{
  "formula": "NaTl2AgRh",
  "functional": "PBE",
  "state": "optimized geometry",
  "formation_enthalpy_0k_ev_per_atom": 0.114,
  "sg": "P4/mmm",
  "final_energy_ev_per_atom": -3.137,
  "n_ef_per_ev_fu": 2.52,
  "cell": [[-4.1502, -0.9266, 3.0166], [-1.8844, -3.2700, -3.5970], [2.5958, -4.0543, 2.3258]],
  "species": ["Na", "Tl", "Tl", "Rh", "Ag"],
  "fractional_positions": [[0.5000, 0.5000, 0.5000], [0.0000, 0.5000, 0.0000], [0.5000, 0.0000, 0.0000], [0.0000, 0.0000, 0.0000], [0.0000, 0.0000, 0.5000]]
}

---

Record 3
{
  "formula": "Ca2ReGeSb",
  "functional": "PBE",
  "state": "optimized geometry",
  "sg": "P4/mmm",
  "final_energy_ev_per_atom": -4.549,
  "n_ef_per_ev_fu": 3.90,
  "e_form_raw_ev_per_fu": 2.4,
  "cell": [[5.5594, 0.0000, 0.0000], [0.0000, 5.0397, 0.0000], [0.0000, 0.0000, 5.5594]],
  "species": ["Re", "Ge", "Ca", "Ca", "Sb"],
  "fractional_positions": [[0.0000, 0.0000, 0.0000], [0.5000, 0.5000, 0.5000], [0.0000, 0.0000, 0.5000], [0.5000, 0.0000, 0.0000], [0.0000, 0.5000, 0.0000]]
}

---

Record 4
{
  "formula": "MgTl2Ga",
  "functional": "PBE",
  "state": "optimized geometry",
  "e_above_lowest_polymorph_ev_per_atom": 0.014,
  "formation_enthalpy_0k_ev_per_atom": 0.052,
  "sg": "Fm-3m",
  "final_energy_ev_per_atom": -2.286,
  "n_ef_per_ev_fu": 2.51,
  "cell": [[4.7957, 1.3507, 1.5878], [0.6037, 3.7339, 3.6107], [1.6102, -1.2543, 4.8144]],
  "species": ["Tl", "Tl", "Mg", "Ga"],
  "fractional_positions": [[0.2500, 0.2500, 0.2500], [0.7500, 0.7500, 0.7500], [0.0000, 0.0000, 0.0000], [0.5000, 0.5000, 0.5000]]
}

---

Question: Number 2 is which compound?
Answer: NaTl2AgRh